No. 1
DFT (GGA+U) results for a relaxed PaTlVO5 crystal.

Properties
- electronic total energy (eV per atom) = -7.95
- magnetization (μB per formula unit) = 1.000

The structure in CIF format:
```
data_PaTlVO5
_space_group_name_H-M_alt 'C 1 2/c 1'
_space_group_IT_number 15
_space_group_name_Hall '-C 2yc'
_cell_length_a 7.820
_cell_length_b 10.105
_cell_length_c 8.148
_cell_angle_alpha 90.00
_cell_angle_beta 117.86
_cell_angle_gamma 90.00
loop_
_atom_site_label
_atom_site_type_symbol
_atom_site_fract_x
_atom_site_fract_y
_atom_site_fract_z
Pa1 Pa 0.000 0.000 0.000
Tl1 Tl 0.000 0.331 0.250
V1 V 0.000 0.312 0.750
O1 O 0.000 0.065 0.250
O2 O 0.080 0.202 0.619
O3 O 0.200 0.424 0.883
```

***

No. 2
DFT (GGA+U) results for a relaxed Pa3Tl2VO12 crystal.

Properties
- electronic total energy (eV per atom) = -8.00
- magnetization (μB per formula unit) = 1.845

The structure in CIF format:
```
data_Pa3Tl2VO12
_space_group_name_H-M_alt 'R -3 m'
_space_group_IT_number 166
_space_group_name_Hall '-R 3 2"'
_cell_length_a 7.9882
_cell_length_b 7.9882
_cell_length_c 18.5568
_cell_angle_alpha 90.00
_cell_angle_beta 90.00
_cell_angle_gamma 120.00
loop_
_atom_site_label
_atom_site_type_symbol
_atom_site_fract_x
_atom_site_fract_y
_atom_site_fract_z
Pa1 Pa 0.0000 0.5000 0.0000
Tl1 Tl 0.0000 0.0000 0.1038
V1 V 0.0000 0.0000 0.5000
O1 O 0.0700 0.5350 0.3606
O2 O 0.1094 0.5547 0.1092
```

***

No. 3
DFT (GGA+U) results for a relaxed Pa3Tl4VO12 crystal.

Properties
- electronic total energy (eV per atom) = -7.61
- magnetization (μB per formula unit) = 0.000

The structure in CIF format:
```
data_Pa3Tl4VO12
_space_group_name_H-M_alt 'I m -3 m'
_space_group_IT_number 229
_space_group_name_Hall '-I 4 2 3'
_cell_length_a 8.576
_cell_length_b 8.576
_cell_length_c 8.576
_cell_angle_alpha 90.00
_cell_angle_beta 90.00
_cell_angle_gamma 90.00
loop_
_atom_site_label
_atom_site_type_symbol
_atom_site_fract_x
_atom_site_fract_y
_atom_site_fract_z
Pa1 Pa 0.000 0.000 0.500
Tl1 Tl 0.250 0.250 0.250
V1 V 0.000 0.000 0.000
O1 O 0.000 0.000 0.232
O2 O 0.000 0.250 0.500
```

***

No. 4
DFT (GGA+U) results for a relaxed PaTlVO6 crystal.

Properties
- electronic total energy (eV per atom) = -7.56
- magnetization (μB per formula unit) = 1.000

The structure in CIF format:
```
data_PaTlVO6
_space_group_name_H-M_alt 'P 3 1 2'
_space_group_IT_number 149
_space_group_name_Hall 'P 3 2'
_cell_length_a 5.3829
_cell_length_b 5.3829
_cell_length_c 4.8133
_cell_angle_alpha 90.00
_cell_angle_beta 90.00
_cell_angle_gamma 120.00
loop_
_atom_site_label
_atom_site_type_symbol
_atom_site_fract_x
_atom_site_fract_y
_atom_site_fract_z
Pa1 Pa 0.0000 0.0000 0.0000
Tl1 Tl 0.3333 0.6667 0.5000
V1 V 0.6667 0.3333 0.5000
O1 O 0.3554 0.0433 0.7363
```

***

No. 5
DFT (GGA+U) results for a relaxed PaTlV2O7 crystal.

Properties
- electronic total energy (eV per atom) = -7.83
- magnetization (μB per formula unit) = 2.056

The structure in CIF format:
```
data_PaTlV2O7
_space_group_name_H-M_alt 'P 4/m m m'
_space_group_IT_number 123
_space_group_name_Hall '-P 4 2'
_cell_length_a 3.774
_cell_length_b 3.774
_cell_length_c 10.793
_cell_angle_alpha 90.00
_cell_angle_beta 90.00
_cell_angle_gamma 90.00
loop_
_atom_site_label
_atom_site_type_symbol
_atom_site_fract_x
_atom_site_fract_y
_atom_site_fract_z
Pa1 Pa 0.000 0.000 0.000
Tl1 Tl 0.000 0.000 0.500
V1 V 0.500 0.500 0.200
O1 O 0.000 0.500 0.144
O2 O 0.500 0.500 0.000
O3 O 0.500 0.500 0.357
```

***

No. 6
DFT (GGA+U) results for a relaxed PaTl2WO8 crystal.

Properties
- electronic total energy (eV per atom) = -6.97
- magnetization (μB per formula unit) = 0.000

The structure in CIF format:
```
data_PaTl2WO8
_space_group_name_H-M_alt 'C m m m'
_space_group_IT_number 65
_space_group_name_Hall '-C 2 2'
_cell_length_a 7.233
_cell_length_b 7.543
_cell_length_c 6.733
_cell_angle_alpha 90.00
_cell_angle_beta 90.00
_cell_angle_gamma 90.00
loop_
_atom_site_label
_atom_site_type_symbol
_atom_site_fract_x
_atom_site_fract_y
_atom_site_fract_z
Pa1 Pa 0.000 0.000 0.000
Tl1 Tl 0.000 0.500 0.261
W1 W 0.000 0.000 0.500
O1 O 0.000 0.170 0.277
O2 O 0.211 0.500 0.000
O3 O 0.231 0.500 0.500
```

***

No. 7
DFT (GGA+U) results for a relaxed Pa3Tl2WO12 crystal.

Properties
- electronic total energy (eV per atom) = -8.16
- magnetization (μB per formula unit) = 0.000

The structure in CIF format:
```
data_Pa3Tl2WO12
_space_group_name_H-M_alt 'R -3 m'
_space_group_IT_number 166
_space_group_name_Hall '-R 3 2"'
_cell_length_a 8.0063
_cell_length_b 8.0063
_cell_length_c 19.1147
_cell_angle_alpha 90.00
_cell_angle_beta 90.00
_cell_angle_gamma 120.00
loop_
_atom_site_label
_atom_site_type_symbol
_atom_site_fract_x
_atom_site_fract_y
_atom_site_fract_z
Pa1 Pa 0.0000 0.5000 0.0000
Tl1 Tl 0.0000 0.0000 0.0976
W1 W 0.0000 0.0000 0.5000
O1 O 0.0691 0.5346 0.3573
O2 O 0.1036 0.5518 0.1083
```

***

No. 8
DFT (GGA+U) results for a relaxed PaTl2WO6 crystal.

Properties
- electronic total energy (eV per atom) = -7.29
- magnetization (μB per formula unit) = 1.000

The structure in CIF format:
```
data_PaTl2WO6
_space_group_name_H-M_alt 'I m m m'
_space_group_IT_number 71
_space_group_name_Hall '-I 2 2'
_cell_length_a 5.976
_cell_length_b 6.036
_cell_length_c 8.479
_cell_angle_alpha 90.00
_cell_angle_beta 90.00
_cell_angle_gamma 90.00
loop_
_atom_site_label
_atom_site_type_symbol
_atom_site_fract_x
_atom_site_fract_y
_atom_site_fract_z
Pa1 Pa 0.000 0.000 0.000
Tl1 Tl 0.000 0.500 0.250
W1 W 0.000 0.000 0.500
O1 O 0.000 0.000 0.256
O2 O 0.234 0.240 0.500
```